An optimized crystal structure of CdAgPb, computed with GGA-PBE.

Summary:
Theoretical density = 9.91 g/cm³
Volume = 71.6 Å³/cell
Calculated formation energy = 0.0438 eV/atom
VASP energy = -2.45 eV/atom

CIF file:
```
data_CdAgPb
_chemical_formula_sum 'Cd1 Ag1 Pb1'
_cell_length_a 6.6183
_cell_length_b 6.6183
_cell_length_c 6.6183
_cell_angle_alpha 150.16
_cell_angle_beta 150.16
_cell_angle_gamma 42.71
_symmetry_space_group_name_H-M 'P 1'
_symmetry_Int_Tables_number 1
loop_
_symmetry_equiv_pos_as_xyz
'x,y,z'
loop_
_atom_site_label
_atom_site_fract_x
_atom_site_fract_y
_atom_site_fract_z
Cd1 0.0000 0.0000 0.0000
Ag1 0.3653 0.3653 0.0000
Pb1 0.6956 0.6956 0.0000
```